Computed, not measured: a relaxed MgCu2O4 crystal at the PBE-GGA level of DFT.

Summary:
Fermi-level density of states = 0.39 states/eV per atom
total energy = -5.238 eV/atom
ρ = 4.800 g/cm³
distance to the lowest polymorph of the same formula = 91 meV/atom

Cell: 5.9511 5.9511 5.9511 Å, 60.00 60.00 60.00°
Closest atoms and distances in Å follow each position.
Positions (direct):
O1 0.9084 0.3639 0.3639  1 Mg 1.98, 3 Cu 2.01
Cu1 0.1250 0.1250 0.1250  6 O 2.01
O2 0.3416 0.8861 0.8861  1 Mg 1.98, 3 Cu 2.01
Mg1 0.7500 0.7500 0.7500  4 O 1.98
Mg2 0.5000 0.5000 0.5000  4 O 1.98
O3 0.3639 0.9084 0.3639  1 Mg 1.98, 3 Cu 2.01
O4 0.8861 0.3416 0.8861  1 Mg 1.98, 3 Cu 2.01
O5 0.8861 0.8861 0.3416  1 Mg 1.98, 3 Cu 2.01
Cu2 0.6250 0.1250 0.1250  6 O 2.01
Cu3 0.1250 0.1250 0.6250  6 O 2.01
O6 0.8861 0.8861 0.8861  1 Mg 1.98, 3 Cu 2.01
Cu4 0.1250 0.6250 0.1250  6 O 2.01
O7 0.3639 0.3639 0.3639  1 Mg 1.98, 3 Cu 2.01
O8 0.3639 0.3639 0.9084  1 Mg 1.98, 3 Cu 2.01

---

Computed, not measured: a relaxed H2Pd2Se crystal at the PBE-GGA level of DFT.

Summary:
Fermi-level density of states = 0.17 states/eV per atom
total energy = -4.139 eV/atom
ρ = 8.620 g/cm³

Cell: 3.2135 3.2135 5.9332 Å, 74.29 74.29 90.00°
Closest atoms and distances in Å follow each position.
Positions (direct):
Se1 0.0000 0.0000 0.0000  8 Pd 2.84, 8 H 3.18
H1 0.7500 0.2500 0.5000  4 Pd 1.91
H2 0.2500 0.7500 0.5000  4 Pd 1.91
Pd1 0.6560 0.6560 0.6881  4 H 1.91
Pd2 0.3440 0.3440 0.3119  4 H 1.91